Record 1
VASP calculation (PBE-GGA) on an optimized crystal structure of CeSmPN.

Cell lengths 3.8005, 3.8005, 19.0323 Å; angles 90.00, 90.00, 120.00 degrees
Space group R3m (No. 160, hexagonal axes)
Inequivalent atoms, fractional coordinates:
1 Ce 0.0000 0.0000 0.0000 x3
2 Sm 0.0000 0.0000 0.4795 x3
3 P 0.0000 0.0000 0.2402 x3
4 N 0.0000 0.0000 0.7338 x3

Computed properties:
density: 7.02 g/cm3
raw total energy: -7.51 eV/atom

***

Record 2
VASP calculation (PBE-GGA) on an optimized crystal structure of CeSnPN.

Cell lengths 3.9208, 3.9208, 38.8581 Å; angles 90.00, 90.00, 120.00 degrees
Space group R-3m (No. 166, hexagonal axes)
Inequivalent atoms, fractional coordinates:
1 Ce 0.0000 0.0000 0.1303 x6
2 Sn 0.0000 0.0000 0.2938 x6
3 P 0.0000 0.0000 0.4093 x6
4 N 0.0000 0.0000 0.1893 x6

Computed properties:
density: 5.85 g/cm3
raw total energy: -6.84 eV/atom

***

Record 3
VASP calculation (PBE-GGA) on an optimized crystal structure of SrCe2PN5.

Cell lengths 6.730, 6.730, 10.778 Å; angles 90.00, 90.00, 90.00 degrees
Space group I4/mcm (No. 140)
Inequivalent atoms, fractional coordinates:
1 Sr 0.000 0.000 0.250 x4
2 Ce 0.188 0.312 0.000 x8
3 P 0.000 0.500 0.250 x4
4 N 0.000 0.000 0.000 x4
5 N 0.132 0.368 0.351 x16

Computed properties:
density: 6.38 g/cm3
raw total energy: -7.94 eV/atom